NaCoOs PBE optimized geometry; volume = 52.0 Å³/f.u.; energy of formation from the pure elements = 165 kJ/mol of formula units; energy above the lowest structure with this stoichiometry = 138 meV per atom; magnetic moment = 3.0 μB per cell
1.0
11.0607 0.0000 0.0000
0.0000 3.7504 0.0000
-1.1735 0.0000 5.0186
Na Co Os
4 4 4
direct
0.0000 0.0000 0.0000
0.0000 0.0000 0.5000
0.5000 0.5000 0.0000
0.5000 0.5000 0.5000
0.2111 0.5000 0.3666
0.2889 0.0000 0.6334
0.7111 0.0000 0.3666
0.7889 0.5000 0.6334
0.2128 0.5000 0.8487
0.2872 0.0000 0.1513
0.7128 0.0000 0.8487
0.7872 0.5000 0.1513